IrN2Cl after structural relaxation. Source: Alexandria via LeMat-Bulk, functional PBEsol.

Properties
For the size of the total moment, the calculation gives 0.00 μB per formula unit. The polymorph energy (0 for the lowest one) is 189.4 kJ/mol of formula units. As for the calculated density: 10.5 g/cm³.

Cell and atoms, written as POSCAR:
```
IrN2Cl
1.0
-0.0740 -3.6464 1.2457
3.1797 -2.1689 -0.1981
1.8729 -0.9730 3.2248
N Cl Ir
2 1 1
Direct
0.2500 0.2500 0.2500
0.7500 0.7500 0.7500
0.0000 0.0000 0.0000
0.5000 0.5000 0.5000
```

***

Cu2SiPt after structural relaxation. Source: Alexandria via LeMat-Bulk, functional PBEsol.

Properties
As for the final energy: -5.65 eV/atom. For the size of the total moment, the calculation gives 0.00 μB per formula unit. As for the calculated density: 11.6 g/cm³.

Cell and atoms, written as POSCAR:
```
Cu2SiPt
1.0
3.5480 0.0000 0.0000
0.0000 3.5480 0.0000
-1.7740 -1.7740 3.9770
Si Pt Cu
1 1 2
Direct
0.0000 0.0000 0.0000
0.5000 0.5000 0.0000
0.7500 0.2500 0.5000
0.2500 0.7500 0.5000
```

***

K2SiW after structural relaxation. Source: Alexandria via LeMat-Bulk, functional PBEsol.

Properties
As for the final energy: -4.31 eV/atom. For the size of the total moment, the calculation gives 0.00 μB per formula unit. As for the calculated density: 5.9 g/cm³.

Cell and atoms, written as POSCAR:
```
K2SiW
1.0
-0.9836 -1.0290 -2.4496
-0.3645 -4.1585 2.4343
-5.5416 1.4354 1.6222
Si K W
1 2 1
Direct
0.0000 0.5000 0.5000
0.7732 0.7450 0.0000
0.2268 0.2550 0.0000
0.5000 0.0000 0.5000
```